A plane-wave DFT calculation with PBE-GGA was carried out for a geometry-optimized NbTe2Ru structure.

Cell lengths 6.3755, 8.1818, 8.5466 Å; angles 116.91, 90.00, 90.00 degrees
With the nearest neighbours (Å) after each atom.
Fractional positions:
Nb  0.4680  0.1756  0.4740  4 Ru 2.70-2.95, 4 Te 2.88-2.98
Nb  0.5320  0.8244  0.5260  4 Ru 2.70-2.95, 4 Te 2.88-2.98
Nb  0.0320  0.6756  0.4740  4 Ru 2.70-2.95, 4 Te 2.88-2.98
Nb  0.9680  0.3244  0.5260  4 Ru 2.70-2.95, 4 Te 2.88-2.98
Te  0.2514  0.9118  0.8174  2 Ru 2.63-2.70, 1 Nb 2.88
Te  0.7514  0.5882  0.1826  2 Ru 2.63-2.70, 1 Nb 2.88
Te  0.2486  0.4118  0.8174  2 Ru 2.63-2.70, 1 Nb 2.88
Te  0.7516  0.1619  0.7312  2 Ru 2.70-2.76, 3 Nb 2.88-2.98
Te  0.7484  0.6619  0.7312  2 Ru 2.70-2.76, 3 Nb 2.88-2.98
Te  0.2516  0.3381  0.2688  2 Ru 2.70-2.76, 3 Nb 2.88-2.98
Te  0.7486  0.0882  0.1826  2 Ru 2.63-2.70, 1 Nb 2.88
Te  0.2484  0.8381  0.2688  2 Ru 2.70-2.76, 3 Nb 2.88-2.98
Ru  0.6544  0.4427  0.3910  1 Ru 2.58, 4 Te 2.63-2.76, 2 Nb 2.70-2.84
Ru  0.1544  0.0573  0.6090  1 Ru 2.58, 4 Te 2.63-2.76, 2 Nb 2.70-2.84
Ru  0.8456  0.9427  0.3910  1 Ru 2.58, 4 Te 2.63-2.76, 2 Nb 2.70-2.84
Ru  0.3456  0.5573  0.6090  1 Ru 2.58, 4 Te 2.63-2.76, 2 Nb 2.70-2.84

Results
Formation energy (no corrections) (eV/f.u.): -1.27
Space-group type: P2_1/c
DOS(E_F) (states/eV/f.u.): 3.93
Raw total energy (eV for the cell shown): -107.606


A plane-wave DFT calculation with PBE-GGA was carried out for a geometry-optimized KMgNb2Fe structure.

Cell lengths 5.0464, 4.5414, 5.0464 Å; angles 90.00, 90.00, 90.00 degrees
With the nearest neighbours (Å) after each atom.
Fractional positions:
Fe  0.0000  0.5000  0.0000  2 Mg 2.27
Nb  0.5000  0.0000  0.0000  2 Mg 2.52
Nb  0.0000  0.0000  0.5000  2 Mg 2.52
K  0.5000  0.5000  0.5000  8 Nb 3.39, 4 Fe 3.57
Mg  0.0000  0.0000  0.0000  2 Fe 2.27, 4 Nb 2.52

Results
Space-group type: P4/mmm
DOS(E_F) (states/eV/f.u.): 7.73
Raw total energy (eV for the cell shown): -20.953


A plane-wave DFT calculation with PBE-GGA was carried out for a geometry-optimized ErCdHg2 structure.

Cell lengths 4.2334, 4.7470, 4.7470 Å; angles 90.00, 90.00, 90.00 degrees
With the nearest neighbours (Å) after each atom.
Fractional positions:
Hg  0.0000  0.5000  0.0000  4 Er 3.18, 4 Cd 3.18, 4 Hg 3.36
Hg  0.0000  0.0000  0.5000  4 Cd 3.18, 4 Er 3.18, 4 Hg 3.36
Er  0.5000  0.5000  0.5000  8 Hg 3.18, 4 Cd 3.36
Cd  0.5000  0.0000  0.0000  8 Hg 3.18, 4 Er 3.36

Results
Space-group type: P4/mmm
DOS(E_F) (states/eV/f.u.): 2.78
Raw total energy (eV for the cell shown): -7.253


A plane-wave DFT calculation with PBE-GGA was carried out for a geometry-optimized La3TeSeN structure.

Cell lengths 4.2386, 9.2209, 9.6059 Å; angles 99.44, 90.00, 90.00 degrees
With the nearest neighbours (Å) after each atom.
Fractional positions:
N  0.2500  0.0839  0.6000  4 La 2.27-2.44
N  0.7500  0.9161  0.4000  4 La 2.27-2.44
La  0.2500  0.8387  0.4902  3 N 2.33-2.44
La  0.7500  0.8863  0.1611  1 N 2.27
La  0.7500  0.4212  0.1462  3 Se 3.00-3.02, 2 Te 3.26
La  0.2500  0.1137  0.8389  1 N 2.27
La  0.7500  0.1613  0.5098  3 N 2.33-2.44
La  0.2500  0.5788  0.8538  3 Se 3.00-3.02, 2 Te 3.26
Se  0.7500  0.3463  0.8277  6 La 3.00-3.24
Se  0.2500  0.6537  0.1723  6 La 3.00-3.24
Te  0.2500  0.1720  0.2096  7 La 3.26-3.59
Te  0.7500  0.8280  0.7904  7 La 3.26-3.59

Results
Formation energy (no corrections) (eV/f.u.): -9.74
Space-group type: P2_1/m
DOS(E_F) (states/eV/f.u.): 2.88
Raw total energy (eV for the cell shown): -78.952


In μB/f.u., the magnetization values for the records above are, in order, 0.00; 0.00; 0.00; 0.00.